The following is a DFT calculation (GGA-PBEsol) of crystalline LiNbO3 at its relaxed geometry.

- Symmetry: R3c (161)
- Final energy: -8.197 eV/atom
- Magnetization: 0.000 μB per cell
- Formation energy without anion corrections: -2490 meV per atom

```
LiNbO3
1.0
-0.405 3.718 3.545
-2.813 -0.784 4.247
2.678 -0.688 4.774
Nb O Li
2 6 2
Direct
0.000 0.000 0.999
0.500 0.500 0.499
0.282 0.635 0.191
0.635 0.892 0.191
0.892 0.282 0.191
0.782 0.392 0.691
0.392 0.135 0.691
0.135 0.782 0.691
0.718 0.718 0.847
0.218 0.218 0.347
```